[1]
An optimized crystal structure of Ca2Sn3GePd4, computed with PBE-GGA.

Volume = 21.98 A^3/atom
D(E_F) = 4.94 states/eV/cell
Formation energy from the elements = -0.650 eV per atom
E_tot = -4.790 eV/atom
SG = P-4m2 (115)
Mass density = 7.1 g cm⁻³

Cell: 4.4412 4.4412 11.1451 Å, 90.00 90.00 90.00°
Last column: nearest neighbours and their distance in Å.
Element x y z (fractional)
1 Pd 0.0000 0.5000 0.3689  3 Sn 2.63-2.66, 2 Ge 2.66
2 Pd 0.0000 0.0000 0.0000  4 Sn 2.67
3 Ge 0.5000 0.5000 0.5000  4 Pd 2.66
4 Sn 0.0000 0.0000 0.5000  4 Pd 2.66
5 Ca 0.5000 0.0000 0.2570  8 Pd 3.38-3.62, 6 Sn 3.43-3.50, 2 Ge 3.50
6 Pd 0.5000 0.0000 0.6311  3 Sn 2.63-2.66, 2 Ge 2.66
7 Sn 0.0000 0.5000 0.1330  5 Pd 2.63-2.67
8 Ca 0.0000 0.5000 0.7430  8 Pd 3.38-3.62, 6 Sn 3.43-3.50, 2 Ge 3.50
9 Sn 0.5000 0.0000 0.8670  5 Pd 2.63-2.67
10 Pd 0.5000 0.5000 0.0000  4 Sn 2.67



[2]
An optimized crystal structure of BeFe4Si, computed with PBE-GGA.

Volume = 11.59 A^3/atom
D(E_F) = 5.03 states/eV/cell
E_tot = -6.944 eV/atom
SG = F-43m (216)
Mass density = 6.2 g cm⁻³
Formation energy without anion corrections = 0.22 eV/atom

Cell: 4.6152 4.6152 4.6152 Å, 60.00 60.00 60.00°
Last column: nearest neighbours and their distance in Å.
Element x y z (fractional)
1 Fe 0.1243 0.6252 0.6252  6 Fe 2.30-2.31
2 Be 0.0000 0.0000 0.0000  12 Fe 2.71, 4 Si 2.83
3 Fe 0.6252 0.6252 0.6252  6 Fe 2.30-2.31
4 Si 0.2500 0.2500 0.2500  12 Fe 2.71, 4 Be 2.83
5 Fe 0.6252 0.6252 0.1243  6 Fe 2.30-2.31
6 Fe 0.6252 0.1243 0.6252  6 Fe 2.30-2.31



[3]
An optimized crystal structure of ScCdSe3, computed with PBE-GGA.

Volume = 27.58 A^3/atom
D(E_F) = 5.57 states/eV/cell
E_tot = -3.980 eV/atom
SG = Pm-3m (221)
Mass density = 4.7 g cm⁻³
Formation energy without anion corrections = -0.44 eV/atom
Polymorph energy (0 for the lowest one) = 0.00 kcal/mol of atoms

Cell: 5.1664 5.1664 5.1664 Å, 90.00 90.00 90.00°
Last column: nearest neighbours and their distance in Å.
Element x y z (fractional)
1 Se 0.0000 0.5000 0.0000  2 Sc 2.58
2 Cd 0.5000 0.5000 0.5000  12 Se 3.65
3 Sc 0.0000 0.0000 0.0000  6 Se 2.58
4 Se 0.5000 0.0000 0.0000  2 Sc 2.58
5 Se 0.0000 0.0000 0.5000  2 Sc 2.58